(1)
# TmHfThZr | Alexandria | PBE | relaxed
# total energy = -29.64 eV/f.u.
# formation energy from the elements = 18.12 kJ per mole of atoms
# volume = 26.2 Å³/atom
# mass density = 10.64 g/cm3
data_TmHfThZr
_symmetry_space_group_name_H-M 'F -4 3 m'
_symmetry_Int_Tables_number 216
_symmetry_space_group_name_Hall 'F -4 2 3'
_cell_length_a 7.482
_cell_length_b 7.482
_cell_length_c 7.482
_cell_angle_alpha 90.00
_cell_angle_beta 90.00
_cell_angle_gamma 90.00
loop_
_atom_site_label
_atom_site_fract_x
_atom_site_fract_y
_atom_site_fract_z
Tm1 0.000 0.000 0.000
Hf1 0.000 0.000 0.500
Th1 0.250 0.250 0.750
Zr1 0.250 0.250 0.250


(2)
# BaLaCl5 | Alexandria | PBE | relaxed
# total energy = -33.03 eV/f.u.
# raw formation energy = -2421 meV per atom
# polymorph energy (0 for the lowest one) = 0.038 eV per atom
# volume = 31.1 Å³/atom
# mass density = 3.46 g/cm3
data_BaLaCl5
_symmetry_space_group_name_H-M 'P n m a'
_symmetry_Int_Tables_number 62
_cell_length_a 18.563
_cell_length_b 7.118
_cell_length_c 6.591
_cell_angle_alpha 90.00
_cell_angle_beta 90.00
_cell_angle_gamma 90.00
loop_
_symmetry_equiv_pos_as_xyz
'x,y,z'
'-x,-y,-z'
'-x+1/2,-y,z+1/2'
'x+1/2,y,-z+1/2'
'x+1/2,-y+1/2,-z+1/2'
'-x+1/2,y+1/2,z+1/2'
'-x,y+1/2,-z'
'x,-y+1/2,z'
loop_
_atom_site_label
_atom_site_fract_x
_atom_site_fract_y
_atom_site_fract_z
Ba1 0.057 0.250 0.244
La1 0.180 0.750 0.656
Cl1 0.054 0.750 0.407
Cl2 0.088 0.502 0.859
Cl3 0.209 0.014 0.332


(3)
# La2Nd3Tm6 | Alexandria | PBE | relaxed
# total energy = -48.93 eV/f.u.
# formation energy from the elements = 18.01 kJ per mole of atoms
# volume = 34.4 Å³/atom
# mass density = 7.56 g/cm3
data_La2Nd3Tm6
_symmetry_space_group_name_H-M 'C 1 2/m 1'
_symmetry_Int_Tables_number 12
_cell_length_a 6.218
_cell_length_b 10.566
_cell_length_c 11.662
_cell_angle_alpha 90.00
_cell_angle_beta 98.45
_cell_angle_gamma 90.00
loop_
_symmetry_equiv_pos_as_xyz
'x,y,z'
'-x,-y,-z'
'-x,y,-z'
'x,-y,z'
'x+1/2,y+1/2,z'
'-x+1/2,-y+1/2,-z'
'-x+1/2,y+1/2,-z'
'x+1/2,-y+1/2,z'
loop_
_atom_site_label
_atom_site_fract_x
_atom_site_fract_y
_atom_site_fract_z
La1 0.000 0.178 0.000
Nd1 0.000 0.000 0.500
Nd2 0.000 0.336 0.500
Tm1 0.238 0.500 0.751
Tm2 0.239 0.167 0.747


(4)
# MgZr2Si | Alexandria | PBE | relaxed
# total energy = -25.27 eV/f.u.
# raw formation energy = -289 meV per atom
# volume = 20.3 Å³/atom
# mass density = 4.81 g/cm3
data_MgZr2Si
_symmetry_space_group_name_H-M 'C m m m'
_symmetry_Int_Tables_number 65
_symmetry_space_group_name_Hall '-C 2 2'
_cell_length_a 4.042
_cell_length_b 4.563
_cell_length_c 8.786
_cell_angle_alpha 90.00
_cell_angle_beta 90.00
_cell_angle_gamma 90.00
loop_
_atom_site_label
_atom_site_fract_x
_atom_site_fract_y
_atom_site_fract_z
Mg1 0.000 0.000 0.000
Zr1 0.000 0.500 0.289
Si1 0.000 0.000 0.500


(5)
# KCd2Rh | Alexandria | PBE | relaxed
# total energy = -8.96 eV/f.u.
# formation energy from the elements = 31.72 kJ per mole of atoms
# polymorph energy (0 for the lowest one) = 0.307 eV per atom
# volume = 22.2 Å³/atom
# mass density = 6.86 g/cm3
data_KCd2Rh
_symmetry_space_group_name_H-M 'I -4 m 2'
_symmetry_Int_Tables_number 119
_symmetry_space_group_name_Hall 'I -4 -2'
_cell_length_a 4.437
_cell_length_b 4.437
_cell_length_c 9.019
_cell_angle_alpha 90.00
_cell_angle_beta 90.00
_cell_angle_gamma 90.00
loop_
_atom_site_label
_atom_site_fract_x
_atom_site_fract_y
_atom_site_fract_z
K1 0.000 0.000 0.000
Cd1 0.000 0.000 0.500
Cd2 0.000 0.500 0.250
Rh1 0.000 0.500 0.750


(6)
# TiNbCrOs | Alexandria | PBE | relaxed
# total energy = -39.93 eV/f.u.
# formation energy from the elements = -26.85 kJ per mole of atoms
# polymorph energy (0 for the lowest one) = 0.025 eV per atom
# volume = 15.0 Å³/atom
# mass density = 10.60 g/cm3
data_TiNbCrOs
_symmetry_space_group_name_H-M 'P 4 m m'
_symmetry_Int_Tables_number 99
_cell_length_a 3.102
_cell_length_b 3.102
_cell_length_c 6.235
_cell_angle_alpha 90.00
_cell_angle_beta 90.00
_cell_angle_gamma 90.00
loop_
_symmetry_equiv_pos_as_xyz
'x,y,z'
'-y,x,z'
'-x,-y,z'
'y,-x,z'
'-x,y,z'
'y,x,z'
'x,-y,z'
'-y,-x,z'
loop_
_atom_site_label
_atom_site_fract_x
_atom_site_fract_y
_atom_site_fract_z
Ti1 0.000 0.000 0.000
Nb1 0.000 0.000 0.485
Cr1 0.500 0.500 0.240
Os1 0.500 0.500 0.749


(7)
# Na8CdPd2 | Alexandria | PBE | relaxed
# total energy = -22.14 eV/f.u.
# formation energy from the elements = -2.48 kJ per mole of atoms
# volume = 26.2 Å³/atom
# mass density = 2.93 g/cm3
data_Na8CdPd2
_symmetry_space_group_name_H-M 'C 1 2/m 1'
_symmetry_Int_Tables_number 12
_cell_length_a 9.242
_cell_length_b 11.968
_cell_length_c 5.460
_cell_angle_alpha 90.00
_cell_angle_beta 107.30
_cell_angle_gamma 90.00
loop_
_symmetry_equiv_pos_as_xyz
'x,y,z'
'-x,-y,-z'
'-x,y,-z'
'x,-y,z'
'x+1/2,y+1/2,z'
'-x+1/2,-y+1/2,-z'
'-x+1/2,y+1/2,-z'
'x+1/2,-y+1/2,z'
loop_
_atom_site_label
_atom_site_fract_x
_atom_site_fract_y
_atom_site_fract_z
Na1 0.000 0.250 0.000
Na2 0.191 0.154 0.638
Na3 0.217 0.000 0.183
Cd1 0.000 0.500 0.000
Pd1 0.000 0.385 0.500


(8)
# Er4SbPb | Alexandria | PBE | relaxed
# total energy = -28.75 eV/f.u.
# raw formation energy = -445 meV per atom
# volume = 29.0 Å³/atom
# mass density = 9.53 g/cm3
data_Er4SbPb
_symmetry_space_group_name_H-M 'C 1 2/c 1'
_symmetry_Int_Tables_number 15
_cell_length_a 8.891
_cell_length_b 13.887
_cell_length_c 6.318
_cell_angle_alpha 90.00
_cell_angle_beta 116.98
_cell_angle_gamma 90.00
loop_
_symmetry_equiv_pos_as_xyz
'x,y,z'
'-x,-y,-z'
'-x,y,-z+1/2'
'x,-y,z+1/2'
'x+1/2,y+1/2,z'
'-x+1/2,-y+1/2,-z'
'-x+1/2,y+1/2,-z+1/2'
'x+1/2,-y+1/2,z+1/2'
loop_
_atom_site_label
_atom_site_fract_x
_atom_site_fract_y
_atom_site_fract_z
Er1 0.106 0.194 0.069
Er2 0.196 0.416 0.306
Sb1 0.000 0.385 0.750
Pb1 0.000 0.000 0.250


Q: The highest mass density belongs to which entry?
A: TmHfThZr